In4C3 PBE relaxed; SG = No. 215; density = 5576 kg/m3; total energy = -4.317 eV/atom; crystal system = cubic
1.0
-4.2045 -2.4483 2.0600
-1.7148 -1.1477 -4.8639
2.7013 -4.5392 0.1188
In C
4 3
Direct
0.2766 0.7234 0.2766
0.7234 0.2766 0.2766
0.7234 0.7234 0.7234
0.2766 0.2766 0.7234
0.5000 0.0000 0.5000
0.5000 0.5000 0.0000
0.0000 0.5000 0.5000

=====

La3Er5S12 PBE relaxed; SG = No. 230; density = 5065 kg/m3; formation energy without anion corrections = -40.1 eV per formula unit; crystal system = cubic
1.0
14.0777 0.0000 0.0000
-4.6926 13.2726 0.0000
-4.6926 -6.6363 11.4944
S Er La
48 20 12
Direct
0.7173 0.1285 0.0425
0.3252 0.5425 0.4140
0.9575 0.3715 0.2827
0.5425 0.2173 0.1285
0.5888 0.7173 0.6748
0.9575 0.5860 0.1748
0.3252 0.7827 0.4112
0.0860 0.9112 0.1285
0.5860 0.9575 0.6748
0.7173 0.5888 0.1748
0.7827 0.4575 0.3715
0.8252 0.9140 0.0425
0.1285 0.7173 0.5425
0.3715 0.4140 0.0888
0.0888 0.9140 0.3715
0.4112 0.1285 0.5860
0.0888 0.1748 0.2173
0.4575 0.6748 0.0860
0.8252 0.9112 0.2827
0.1285 0.4112 0.0860
0.3715 0.9575 0.7827
0.5860 0.6285 0.4112
0.9140 0.8252 0.5425
0.7827 0.3252 0.9112
0.4140 0.3715 0.5888
0.0860 0.1748 0.4575
0.2173 0.6748 0.0888
0.1748 0.0888 0.7173
0.6285 0.0425 0.2173
0.8715 0.5888 0.9140
0.5425 0.3252 0.9140
0.5888 0.8715 0.4140
0.9112 0.8252 0.7827
0.9112 0.0860 0.6285
0.8715 0.2827 0.4575
0.1748 0.0860 0.9575
0.6285 0.5860 0.9112
0.4140 0.0425 0.3252
0.2827 0.4112 0.8252
0.2173 0.5425 0.6285
0.9140 0.0888 0.8715
0.6748 0.2173 0.5888
0.4575 0.7827 0.8715
0.0425 0.4140 0.8252
0.4112 0.2827 0.3252
0.0425 0.6285 0.7173
0.6748 0.4575 0.5860
0.2827 0.8715 0.9575
0.1250 0.3750 0.2500
0.0000 0.5000 0.0000
0.0000 0.0000 0.0000
0.3750 0.2500 0.1250
0.5000 0.0000 0.5000
0.5000 0.5000 0.0000
0.1250 0.7500 0.3750
0.7500 0.1250 0.8750
0.7500 0.6250 0.3750
0.3750 0.1250 0.7500
0.6250 0.8750 0.2500
0.5000 0.5000 0.5000
0.5000 0.0000 0.0000
0.0000 0.0000 0.5000
0.2500 0.3750 0.6250
0.2500 0.8750 0.1250
0.0000 0.5000 0.5000
0.8750 0.2500 0.6250
0.6250 0.7500 0.8750
0.8750 0.6250 0.7500
0.7500 0.3750 0.1250
0.8750 0.7500 0.1250
0.3750 0.7500 0.6250
0.2500 0.1250 0.3750
0.8750 0.1250 0.2500
0.3750 0.6250 0.2500
0.6250 0.3750 0.7500
0.1250 0.8750 0.7500
0.7500 0.8750 0.6250
0.6250 0.2500 0.3750
0.1250 0.2500 0.8750
0.2500 0.6250 0.8750

=====

RbSmMoN3 PBE relaxed; SG = No. 12; density = 5681 kg/m3; formation energy without anion corrections = -3.0 eV per formula unit; crystal system = monoclinic
1.0
-3.8180 0.1873 0.8825
0.7075 -5.5609 -4.4791
1.5772 -3.2514 7.5137
Rb Sm Mo N
2 2 2 6
Direct
0.3565 0.7130 0.9320
0.6435 0.2870 0.0680
0.6621 0.3242 0.5855
0.3379 0.6758 0.4145
0.0078 0.0155 0.3313
0.9922 0.9845 0.6687
0.8695 0.7389 0.2230
0.8414 0.6829 0.6309
0.5127 0.0253 0.3530
0.1586 0.3171 0.3691
0.4873 0.9747 0.6470
0.1305 0.2611 0.7770